# ZrZnCl2

A relaxed structure of ZrZnCl2 (PBE, the Alexandria database).

abc: 3.3702 4.4569 5.5589
angles: 90.00 91.12 90.00
Space group P2/m (No. 10)
Inequivalent atoms, fractional coordinates:
Zr (0.0000, 0.0000, 0.0000)
Zn (0.5000, 0.0000, 0.5000)
Cl (0.1696, 0.5000, 0.7620)

Calculated values
- Electronic total energy: -3.9754 eV per atom
- Size of the total moment: 0.00 μB/f.u.
- E_form (uncorrected): -0.597 eV/atom